# 1
Here is a geometry-optimized ZrHRh3 structure from the Alexandria database. Energies are from GGA-PBE.

```
10
Lattice="4.308 0.000 2.759 -2.154 3.731 2.759 -2.154 -3.731 2.759" Properties=species:S:1:pos:R:3 pbc="T T T"
H 0.000 0.000 2.069
H 0.000 0.000 6.208
Rh 2.485 1.052 4.828
Rh -0.331 -2.678 4.828
Rh -2.154 1.626 4.828
Rh 2.154 -1.626 3.449
Rh 0.331 2.678 3.449
Rh -2.485 -1.052 3.449
Zr 0.000 0.000 0.000
Zr 0.000 0.000 4.138
```

Results
Theoretical density, g/cm3: 10.010
Offset from the most stable computed form, meV/atom: 291.1



# 2
Here is a geometry-optimized ZrHRh3 structure from the Alexandria database. Energies are from GGA-PBE.

```
10
Lattice="-3.667 3.296 1.530 2.089 -1.626 4.433 3.538 4.025 -0.191" Properties=species:S:1:pos:R:3 pbc="T T T"
H 2.157 0.079 3.974
H -0.197 5.617 1.799
Rh -0.703 2.460 1.180
Rh -1.335 3.128 3.564
Rh 3.294 2.567 2.208
Rh 2.663 3.235 4.592
Rh 0.000 0.000 0.000
Rh 1.769 2.012 -0.096
Zr 0.639 1.377 3.208
Zr 1.321 4.319 2.564
```

Results
Theoretical density, g/cm3: 9.581
Offset from the most stable computed form, meV/atom: 445.3



# 3
Here is a geometry-optimized ZrHRh3 structure from the Alexandria database. Energies are from GGA-PBE.

```
10
Lattice="8.561 0.003 0.003 0.934 3.893 0.001 0.934 -0.224 3.886" Properties=species:S:1:pos:R:3 pbc="T T T"
H 3.486 2.845 0.996
H 8.324 3.736 1.943
Rh 2.922 0.921 1.021
Rh 7.671 1.838 1.994
Rh 5.308 2.406 0.533
Rh 1.523 3.316 1.497
Rh 3.857 2.755 2.964
Rh 6.736 0.005 0.050
Zr 5.271 0.357 2.485
Zr 1.484 1.266 3.449
```

Results
Theoretical density, g/cm3: 10.283
Offset from the most stable computed form, meV/atom: 58.8



# 4
Here is a geometry-optimized ZrHRh3 structure from the Alexandria database. Energies are from GGA-PBE.

```
10
Lattice="-1.641 5.889 -5.281 -1.291 -2.719 -2.678 -3.741 0.300 1.497" Properties=species:S:1:pos:R:3 pbc="T T T"
H -4.205 4.154 -5.643
H -4.329 2.108 -5.538
Rh -3.523 1.604 -1.321
Rh -2.974 3.026 -6.107
Rh -4.576 1.671 -3.875
Rh -3.823 -1.178 -1.420
Rh -2.307 0.095 -3.405
Rh -4.373 4.550 -3.951
Zr -2.032 2.862 -3.357
Zr -1.234 0.042 -0.799
```

Results
Theoretical density, g/cm3: 10.126
Offset from the most stable computed form, meV/atom: 60.0



# 5
Here is a geometry-optimized ZrHRh3 structure from the Alexandria database. Energies are from GGA-PBE.

```
10
Lattice="4.673 0.000 0.000 0.000 4.673 0.000 2.337 2.337 9.221" Properties=species:S:1:pos:R:3 pbc="T T T"
H 4.673 2.337 6.774
H 4.673 2.337 2.446
Rh 1.144 4.673 2.272
Rh 2.337 5.867 6.949
Rh 2.337 3.480 6.949
Rh 3.530 4.673 2.272
Rh 2.337 2.337 2.626
Rh 4.673 4.673 6.595
Zr 0.000 0.000 0.000
Zr 2.337 4.673 4.610
```

Results
Theoretical density, g/cm3: 6.612
Offset from the most stable computed form, meV/atom: 1341.5



# 6
Here is a geometry-optimized ZrHRh3 structure from the Alexandria database. Energies are from GGA-PBE.

```
10
Lattice="-13.896 -0.140 7.419 -7.087 -0.192 0.312 6.010 -2.922 -2.388" Properties=species:S:1:pos:R:3 pbc="T T T"
H -15.395 -0.566 5.184
H 0.422 -2.688 0.159
Rh -8.967 -1.919 3.879
Rh -6.006 -1.334 1.464
Rh 1.934 -2.389 -1.073
Rh -16.906 -0.865 6.416
Rh -11.633 -1.064 3.979
Rh -3.340 -2.189 1.364
Zr -6.556 -2.733 3.848
Zr -8.417 -0.520 1.495
```

Results
Theoretical density, g/cm3: 9.167
Offset from the most stable computed form, meV/atom: 328.5



# 7
Here is a geometry-optimized ZrHRh3 structure from the Alexandria database. Energies are from GGA-PBE.

```
5
Lattice="-1.620 -0.686 -2.286 5.120 -3.312 -2.636 -4.917 -1.883 4.050" Properties=species:S:1:pos:R:3 pbc="T T T"
H -0.408 -2.525 1.046
Rh -1.618 -1.514 -0.219
Rh -1.517 -4.123 0.491
Rh -2.287 -2.258 2.298
Zr -4.846 -2.352 2.320
```

Results
Theoretical density, g/cm3: 7.053
Offset from the most stable computed form, meV/atom: 1059.1



# 8
Here is a geometry-optimized ZrHRh3 structure from the Alexandria database. Energies are from GGA-PBE.

```
10
Lattice="5.772 0.000 0.000 2.886 4.998 0.000 0.000 0.000 4.567" Properties=species:S:1:pos:R:3 pbc="T T T"
H 2.866 0.523 3.122
H 2.866 3.854 0.845
Rh 7.098 2.966 0.843
Rh 4.405 2.966 0.843
Rh 4.405 1.411 3.126
Rh 1.326 1.411 3.126
Rh 5.752 0.634 0.843
Rh 5.752 3.743 3.126
Zr 2.866 3.854 3.127
Zr 2.866 0.523 0.841
```

Results
Theoretical density, g/cm3: 10.109
Offset from the most stable computed form, meV/atom: 54.4



# 9
Here is a geometry-optimized ZrH4Rh structure from the Alexandria database. Energies are from GGA-PBE.

```
6
Lattice="-1.847 0.231 -2.744 -1.954 -2.438 1.110 -2.560 2.949 1.971" Properties=species:S:1:pos:R:3 pbc="T T T"
Zr -4.453 1.847 1.144
H -3.604 -1.475 0.294
H -4.695 -0.220 1.133
H -2.795 0.884 1.950
H -1.704 -0.371 1.111
Rh -3.227 -0.962 2.086
```

Results
Theoretical density, g/cm3: 6.842



# 10
Here is a geometry-optimized ZrHRh3 structure from the Alexandria database. Energies are from GGA-PBE.

```
10
Lattice="-5.338 0.743 1.891 -1.048 -0.032 5.680 0.698 4.517 0.196" Properties=species:S:1:pos:R:3 pbc="T T T"
H -1.711 2.597 2.717
H -1.284 1.047 4.528
Rh -5.513 1.582 5.036
Rh -3.019 1.235 4.152
Rh -3.151 3.643 2.756
Rh -0.355 3.253 1.766
Rh -5.013 1.620 2.403
Rh -3.651 3.598 5.469
Zr -0.925 3.275 4.668
Zr -2.423 1.185 1.258
```

Results
Theoretical density, g/cm3: 10.150
Offset from the most stable computed form, meV/atom: 72.7



# 11
Here is a geometry-optimized ZrH3Rh structure from the Alexandria database. Energies are from GGA-PBE.

```
5
Lattice="-0.381 2.778 -1.523 -1.659 1.131 2.480 4.864 -0.406 1.387" Properties=species:S:1:pos:R:3 pbc="T T T"
Zr 2.381 3.326 2.129
H 1.318 1.431 2.282
H 1.957 2.255 0.281
H 3.441 1.387 1.670
Rh 0.067 2.393 1.006
```

Results
Theoretical density, g/cm3: 7.074



# 12
Here is a geometry-optimized ZrH3Rh structure from the Alexandria database. Energies are from GGA-PBE.

```
5
Lattice="3.549 0.000 0.000 0.000 3.549 0.000 0.000 0.000 3.549" Properties=species:S:1:pos:R:3 pbc="T T T"
H 0.000 1.774 0.000
H 0.000 0.000 1.774
H 1.774 0.000 0.000
Rh 0.000 0.000 0.000
Zr 1.774 1.774 1.774
```

Results
Theoretical density, g/cm3: 7.326



no.,raw total energy (eV/atom)
1,-7.13
2,-6.97
3,-7.36
4,-7.36
5,-6.08
6,-7.09
7,-6.36
8,-7.36
9,-5.16
10,-7.34
11,-5.46
12,-5.53